(1)
Entry from Alexandria: crystalline AcCr2AsO8 at its relaxed geometry (PBE with a Hubbard U).

Cell lengths 4.953, 4.961, 7.327 Å; angles 87.77, 87.71, 69.23 degrees
Site moments in Bohr magnetons follow the coordinates.
Positions (direct):
Ac  0.000  0.000  0.500  0.01
Cr  0.372  0.373  0.796  2.03
Cr  0.628  0.627  0.204  2.03
As  0.000  0.000  0.000  0.04
O  0.232  0.779  0.190  -0.02
O  0.778  0.779  0.018  -0.01
O  0.780  0.232  0.191  -0.02
O  0.768  0.221  0.810  -0.02
O  0.222  0.221  0.982  -0.01
O  0.220  0.768  0.809  -0.02
O  0.694  0.696  0.425  -0.03
O  0.306  0.304  0.575  -0.03

## Properties
calculated volume	168	Å³ per cell
space group	No. 2
E_tot	-7.053	eV/atom

(2)
Entry from Alexandria: crystalline AcCrAsO6 at its relaxed geometry (PBE with a Hubbard U).

Cell lengths 5.378, 5.083, 5.083 Å; angles 120.00, 90.00, 90.00 degrees
Site moments in Bohr magnetons follow the coordinates.
Positions (direct):
Ac  0.000  0.333  0.667  0.00
Cr  0.500  0.667  0.333  2.43
As  0.500  0.000  0.000  0.03
O  0.700  0.725  0.679  -0.08
O  0.700  0.321  0.046  -0.08
O  0.700  0.954  0.275  -0.08
O  0.300  0.321  0.275  -0.08
O  0.300  0.725  0.046  -0.08
O  0.300  0.954  0.679  -0.08

## Properties
calculated volume	120	Å³ per cell
space group	No. 149
E_tot	-7.165	eV/atom

(3)
Entry from Alexandria: crystalline Ac2CrAsO6 at its relaxed geometry (PBE with a Hubbard U).

Cell lengths 4.135, 5.744, 5.744 Å; angles 90.00, 90.00, 90.00 degrees
Site moments in Bohr magnetons follow the coordinates.
Positions (direct):
Ac  0.118  0.500  0.000  0.01
Ac  0.118  0.000  0.500  0.01
Cr  0.653  0.500  0.500  2.95
As  0.646  0.000  0.000  -0.02
O  0.667  0.256  0.256  -0.01
O  0.667  0.256  0.744  -0.01
O  0.156  0.500  0.500  -0.01
O  0.088  0.000  0.000  0.00
O  0.667  0.744  0.744  -0.01
O  0.667  0.744  0.256  -0.01

## Properties
calculated volume	136	Å³ per cell
space group	No. 99
E_tot	-7.394	eV/atom